# 1
# KRbPS2 | Alexandria | PBE | relaxed
data_KRbPS2
_cell_length_a 6.091
_cell_length_b 6.091
_cell_length_c 6.332
_cell_angle_alpha 90.00
_cell_angle_beta 90.00
_cell_angle_gamma 90.00
_symmetry_space_group_name_H-M 'P 4/m m m'
_symmetry_Int_Tables_number 123
_symmetry_space_group_name_Hall '-P 4 2'
loop_
_atom_site_label
_atom_site_type_symbol
_atom_site_fract_x
_atom_site_fract_y
_atom_site_fract_z
_atom_site_occupancy
K1 K 0.000 0.000 0.000 1
Rb1 Rb 0.500 0.500 0.500 1
P1 P 0.500 0.500 0.000 1
S1 S 0.000 0.500 0.500 1
# Formation energy from raw total energies, eV/atom: 0.674
# Energy above the most stable polymorph in this dataset, meV per atom: 1053.9

# 2
# HoCuAg2 | Alexandria | PBE | relaxed
data_HoCuAg2
_cell_length_a 4.5685
_cell_length_b 4.5685
_cell_length_c 13.1520
_cell_angle_alpha 90.00
_cell_angle_beta 90.00
_cell_angle_gamma 120.00
_symmetry_space_group_name_H-M 'R -3 m'
_symmetry_Int_Tables_number 166
_symmetry_space_group_name_Hall '-R 3 2"'
loop_
_atom_site_label
_atom_site_type_symbol
_atom_site_fract_x
_atom_site_fract_y
_atom_site_fract_z
_atom_site_occupancy
Ho1 Ho 0.0000 0.0000 0.0000 1
Cu1 Cu 0.0000 0.0000 0.5000 1
Ag1 Ag 0.0000 0.0000 0.2248 1
# Calculated formation energy, eV per atom: -0.12
# Energy above the most stable polymorph in this dataset, meV per atom: 124.3

# 3
# TlSiIr2 | Alexandria | PBE | relaxed
data_TlSiIr2
_cell_length_a 4.253
_cell_length_b 4.253
_cell_length_c 7.104
_cell_angle_alpha 90.00
_cell_angle_beta 90.00
_cell_angle_gamma 90.00
_symmetry_space_group_name_H-M 'I 4/m m m'
_symmetry_Int_Tables_number 139
_symmetry_space_group_name_Hall '-I 4 2'
loop_
_atom_site_label
_atom_site_type_symbol
_atom_site_fract_x
_atom_site_fract_y
_atom_site_fract_z
_atom_site_occupancy
Tl1 Tl 0.000 0.000 0.000 1
Si1 Si 0.000 0.000 0.500 1
Ir1 Ir 0.000 0.500 0.250 1
# Formation energy from raw total energies, eV/atom: 0.322
# Energy above the most stable polymorph in this dataset, meV per atom: 470.2

# 4
# Ce2GeS6 | Alexandria | PBE | relaxed
data_Ce2GeS6
_cell_length_a 6.076
_cell_length_b 6.076
_cell_length_c 12.256
_cell_angle_alpha 90.00
_cell_angle_beta 90.00
_cell_angle_gamma 90.00
_symmetry_space_group_name_H-M 'P 42/m n m'
_symmetry_Int_Tables_number 136
_symmetry_space_group_name_Hall '-P 4n 2n'
loop_
_atom_site_label
_atom_site_type_symbol
_atom_site_fract_x
_atom_site_fract_y
_atom_site_fract_z
_atom_site_occupancy
Ce1 Ce 0.000 0.000 0.166 1
Ge1 Ge 0.000 0.000 0.500 1
S1 S 0.184 0.184 0.351 1
S2 S 0.208 0.208 0.000 1
# Formation energy from raw total energies, eV/atom: -1.036

# 5
# CsLa2BePb | Alexandria | PBE | relaxed
data_CsLa2BePb
_cell_length_a 6.168
_cell_length_b 6.168
_cell_length_c 7.227
_cell_angle_alpha 90.00
_cell_angle_beta 90.00
_cell_angle_gamma 90.00
_symmetry_space_group_name_H-M 'P 4/m m m'
_symmetry_Int_Tables_number 123
_symmetry_space_group_name_Hall '-P 4 2'
loop_
_atom_site_label
_atom_site_type_symbol
_atom_site_fract_x
_atom_site_fract_y
_atom_site_fract_z
_atom_site_occupancy
Cs1 Cs 0.000 0.000 0.000 1
La1 La 0.000 0.500 0.500 1
Be1 Be 0.500 0.500 0.000 1
Pb1 Pb 0.000 0.000 0.500 1
# Calculated formation energy, eV per atom: 0.87

# 6
# Li3Ca3In8 | Alexandria | PBE | relaxed
data_Li3Ca3In8
_cell_length_a 4.770
_cell_length_b 10.781
_cell_length_c 13.596
_cell_angle_alpha 90.00
_cell_angle_beta 90.00
_cell_angle_gamma 90.00
_symmetry_space_group_name_H-M 'I m m m'
_symmetry_Int_Tables_number 71
_symmetry_space_group_name_Hall '-I 2 2'
loop_
_atom_site_label
_atom_site_type_symbol
_atom_site_fract_x
_atom_site_fract_y
_atom_site_fract_z
_atom_site_occupancy
Li1 Li 0.000 0.000 0.000 1
Li2 Li 0.000 0.326 0.500 1
Ca1 Ca 0.000 0.500 0.000 1
Ca2 Ca 0.000 0.500 0.290 1
In1 In 0.000 0.137 0.351 1
In2 In 0.000 0.207 0.128 1
# Calculated formation energy, eV per atom: -0.34

# 7
# Tb3Sm2Ho5 | Alexandria | PBE | relaxed
data_Tb3Sm2Ho5
_cell_length_a 9.338
_cell_length_b 13.531
_cell_length_c 10.863
_cell_angle_alpha 90.00
_cell_angle_beta 90.00
_cell_angle_gamma 90.00
_symmetry_space_group_name_H-M 'I b a m'
_symmetry_Int_Tables_number 72
_symmetry_space_group_name_Hall '-I 2 2c'
loop_
_atom_site_label
_atom_site_type_symbol
_atom_site_fract_x
_atom_site_fract_y
_atom_site_fract_z
_atom_site_occupancy
Tb1 Tb 0.000 0.000 0.250 1
Tb2 Tb 0.248 0.126 0.000 1
Sm1 Sm 0.103 0.125 0.500 1
Ho1 Ho 0.000 0.251 0.250 1
Ho2 Ho 0.000 0.500 0.250 1
Ho3 Ho 0.087 0.376 0.000 1
# Calculated formation energy, eV per atom: 0.41
# Energy above the most stable polymorph in this dataset, meV per atom: 211.9

# 8
# Nd5Ho4Th | Alexandria | PBE | relaxed
data_Nd5Ho4Th
_cell_length_a 17.153
_cell_length_b 3.557
_cell_length_c 11.552
_cell_angle_alpha 90.00
_cell_angle_beta 108.62
_cell_angle_gamma 90.00
_symmetry_space_group_name_H-M 'C 1 2/m 1'
_symmetry_Int_Tables_number 12
loop_
_symmetry_equiv_pos_as_xyz
'x,y,z'
'-x,-y,-z'
'-x,y,-z'
'x,-y,z'
'x+1/2,y+1/2,z'
'-x+1/2,-y+1/2,-z'
'-x+1/2,y+1/2,-z'
'x+1/2,-y+1/2,z'
loop_
_atom_site_label
_atom_site_type_symbol
_atom_site_fract_x
_atom_site_fract_y
_atom_site_fract_z
_atom_site_occupancy
Nd1 Nd 0.000 0.000 0.000 1
Nd2 Nd 0.190 0.500 0.082 1
Nd3 Nd 0.202 0.500 0.610 1
Ho1 Ho 0.081 0.500 0.297 1
Ho2 Ho 0.105 0.000 0.798 1
Th1 Th 0.000 0.000 0.500 1
# Calculated formation energy, eV per atom: 0.04
# Energy above the most stable polymorph in this dataset, meV per atom: 0.0

Taking the records one at a time from the top gives Fermi-level density of states values of 5.3; 1.7; 1.3; 1.6; 5.3; 4.8; 15.3; 14.4 states/eV/f.u..